Density functional theory data (PBE) for NaAcPrGa after structural relaxation.

ΔH_f (0 K): -0.121 eV/atom
E_tot: -3.430 eV per atom
SG: F-43m, No. 216

abc: 5.5733 5.5733 5.5733
angles: 60.00 60.00 60.00
Element x y z (fractional)
Na  0.0000  0.0000  0.0000
Ac  0.7500  0.7500  0.7500
Pr  0.2500  0.2500  0.2500
Ga  0.5000  0.5000  0.5000

---

Density functional theory data (PBE) for Sm2Ho3Tm2 after structural relaxation.

ΔH_f (0 K): 0.022 eV/atom
Energy above the lowest structure with this stoichiometry: 0.000 eV per formula unit
E_tot: -4.566 eV per atom
SG: P-1, No. 2

abc: 3.5436 6.1207 10.6330
angles: 95.47 90.04 106.78
Element x y z (fractional)
Sm  0.2154  0.4299  0.3553
Sm  0.7846  0.5701  0.6447
Ho  0.3572  0.7151  0.9299
Ho  0.5000  0.0000  0.5000
Ho  0.6428  0.2849  0.0701
Tm  0.0707  0.1413  0.7880
Tm  0.9293  0.8587  0.2120

---

Density functional theory data (PBE) for AlCd2Se after structural relaxation.

E_form (uncorrected): -207 meV per atom
Energy above the lowest structure with this stoichiometry: 0.000 eV per formula unit
E_tot: -2.472 eV per atom
SG: R3m, No. 160

abc: 8.2599 8.2599 8.2599
angles: 25.57 25.57 25.57
Element x y z (fractional)
Al  0.0000  0.0000  0.0000
Cd  0.5086  0.5086  0.5086
Cd  0.7510  0.7510  0.7510
Se  0.2753  0.2753  0.2753

---

Q: Look up the E_tot of the third one.
A: -2.472 eV per atom

---

Q: Which of these has the highest E_tot?
A: AlCd2Se